PBE KYSc2, optimized geometry; formation energy from the elements = 489 meV per atom; energy relative to the lowest polymorph listed for this composition = 201.5 meV per atom
1.0
5.674 -1.683 0.000
5.674 1.683 0.000
-0.666 0.000 7.540
K Y Sc
1 1 2
direct
0.000 0.000 0.000 K
0.500 0.500 0.500 Y
0.241 0.241 0.670 Sc
0.759 0.759 0.330 Sc


PBE K2YSc, optimized geometry; formation energy from the elements = 670 meV per atom; energy relative to the lowest polymorph listed for this composition = 345.7 meV per atom
1.0
4.812 0.000 0.000
0.000 4.812 0.000
0.000 0.000 6.944
K Y Sc
2 1 1
direct
0.000 0.500 0.000 K
0.500 0.000 0.000 K
0.000 0.000 0.500 Y
0.500 0.500 0.500 Sc


PBE K2YSc, optimized geometry; formation energy from the elements = 672 meV per atom; energy relative to the lowest polymorph listed for this composition = 347.7 meV per atom
1.0
-2.408 2.408 6.942
2.408 -2.408 6.942
2.408 2.408 -6.942
K Y Sc
2 1 1
direct
0.250 0.750 0.500 K
0.750 0.250 0.500 K
0.000 0.000 0.000 Y
0.500 0.500 0.000 Sc


PBE K2YSc, optimized geometry; formation energy from the elements = 580 meV per atom; energy relative to the lowest polymorph listed for this composition = 255.7 meV per atom
1.0
1.786 1.031 14.071
-1.786 1.031 14.071
0.000 -2.063 14.071
K Y Sc
2 1 1
direct
0.248 0.248 0.248 K
0.752 0.752 0.752 K
0.000 0.000 0.000 Y
0.500 0.500 0.500 Sc


PBE KYSc, optimized geometry; formation energy from the elements = 386 meV per atom; energy relative to the lowest polymorph listed for this composition = 34.3 meV per atom
1.0
0.000 2.818 9.481
2.023 0.000 9.481
2.023 2.818 0.000
K Y Sc
1 1 1
direct
0.000 0.000 0.000 K
0.309 0.309 0.691 Y
0.681 0.681 0.319 Sc


PBE KYSc2, optimized geometry; formation energy from the elements = 561 meV per atom; energy relative to the lowest polymorph listed for this composition = 274.2 meV per atom
1.0
-1.776 2.990 5.924
1.776 -2.990 5.924
1.776 2.990 -5.924
K Y Sc
1 1 2
direct
0.000 0.000 0.000 K
0.500 0.500 0.000 Y
0.264 0.764 0.500 Sc
0.736 0.236 0.500 Sc


PBE K2YSc, optimized geometry; formation energy from the elements = 592 meV per atom; energy relative to the lowest polymorph listed for this composition = 267.1 meV per atom
1.0
1.853 -3.010 0.000
1.853 3.010 0.000
0.000 0.000 14.019
K Y Sc
2 1 1
direct
0.000 0.000 0.244 K
0.000 0.000 0.756 K
0.500 0.500 0.500 Y
0.500 0.500 0.000 Sc


PBE KYSc2, optimized geometry; formation energy from the elements = 609 meV per atom; energy relative to the lowest polymorph listed for this composition = 321.5 meV per atom
1.0
3.570 0.000 0.000
0.000 5.892 0.000
0.000 0.000 5.914
K Y Sc
1 1 2
direct
0.000 0.000 0.000 K
0.500 0.500 0.000 Y
0.000 0.500 0.500 Sc
0.500 0.000 0.500 Sc


PBE KYSc2, optimized geometry; formation energy from the elements = 473 meV per atom; energy relative to the lowest polymorph listed for this composition = 186.2 meV per atom
1.0
5.532 -1.679 0.000
5.532 1.679 0.000
-0.727 0.000 7.443
K Y Sc
1 1 2
direct
0.000 0.000 0.000 K
0.762 0.762 0.323 Y
0.241 0.241 0.683 Sc
0.503 0.503 0.516 Sc


PBE K2YSc, optimized geometry; formation energy from the elements = 563 meV per atom; energy relative to the lowest polymorph listed for this composition = 238.6 meV per atom
1.0
5.797 -1.751 0.000
5.797 1.751 0.000
-0.589 0.000 8.591
K Y Sc
2 1 1
direct
0.000 0.000 0.000 K
0.242 0.242 0.701 K
0.758 0.758 0.286 Y
0.486 0.486 0.414 Sc


PBE KYSc2, optimized geometry; formation energy from the elements = 652 meV per atom; energy relative to the lowest polymorph listed for this composition = 365.0 meV per atom
1.0
5.032 0.000 0.000
0.000 5.032 0.000
0.000 0.000 5.062
K Y Sc
1 1 2
direct
0.000 0.000 0.000 K
0.500 0.500 0.000 Y
0.000 0.500 0.500 Sc
0.500 0.000 0.500 Sc


PBE KY4Sc, optimized geometry; formation energy from the elements = 513 meV per atom
1.0
0.000 4.748 4.748
4.748 0.000 4.748
4.748 4.748 0.000
K Y Sc
1 4 1
direct
0.000 0.000 0.000 K
0.378 0.378 0.378 Y
0.378 0.378 0.865 Y
0.378 0.865 0.378 Y
0.865 0.378 0.378 Y
0.750 0.750 0.750 Sc


PBE KYSc, optimized geometry; formation energy from the elements = 1192 meV per atom; energy relative to the lowest polymorph listed for this composition = 840.6 meV per atom
1.0
0.000 4.069 4.069
4.069 0.000 4.069
4.069 4.069 0.000
K Y Sc
1 1 1
direct
0.000 0.000 0.000 K
0.500 0.500 0.500 Y
0.250 0.250 0.250 Sc


PBE KYSc, optimized geometry; formation energy from the elements = 372 meV per atom; energy relative to the lowest polymorph listed for this composition = 20.0 meV per atom
1.0
-1.771 1.771 8.864
1.771 -1.771 8.864
1.771 1.771 -8.864
K Y Sc
1 1 1
direct
0.000 0.000 0.000 K
0.694 0.694 0.000 Y
0.317 0.317 0.000 Sc


PBE K2YSc, optimized geometry; formation energy from the elements = 630 meV per atom; energy relative to the lowest polymorph listed for this composition = 306.1 meV per atom
1.0
-1.804 3.556 6.766
1.804 -3.556 6.766
1.804 3.556 -6.766
K Y Sc
2 1 1
direct
0.000 0.000 0.000 K
0.731 0.231 0.500 K
0.453 0.453 0.000 Y
0.261 0.761 0.500 Sc


For reference, raw total energy by record: -4.57 -3.08 -3.08 -3.17 -4.25 -4.49 -3.16 -4.45 -4.58 -3.18 -4.40 -5.03 -3.44 -4.26 -3.12 eV per atom.
For reference, D(E_F) by record: 7.7 6.2 6.3 5.5 5.7 6.3 6.5 7.8 7.8 6.0 5.2 8.8 9.7 4.7 5.6 states/eV per cell.